Record 1
LaMgB: optimized geometry, PBE-GGA.

Lattice parameters (Å, degrees): 6.8861 4.0988 8.5068 90.00 90.00 90.00
Last column: nearest neighbours and their distance in Å.
Fractional coordinates of all 12 atoms:
La  0.1348  0.2500  0.0854  4 Mg 2.85-3.16, 5 B 3.01-3.18, 2 La 3.12
La  0.3652  0.7500  0.5854  4 Mg 2.85-3.16, 5 B 3.01-3.18, 2 La 3.12
La  0.6348  0.2500  0.4146  4 Mg 2.85-3.16, 5 B 3.01-3.18, 2 La 3.12
La  0.8652  0.7500  0.9146  4 Mg 2.85-3.16, 5 B 3.01-3.18, 2 La 3.12
Mg  0.0938  0.2500  0.4189  3 B 2.51-2.65, 2 Mg 2.79
Mg  0.4062  0.7500  0.9189  3 B 2.51-2.65, 2 Mg 2.79
Mg  0.5938  0.2500  0.0811  3 B 2.51-2.65, 2 Mg 2.79
Mg  0.9062  0.7500  0.5811  3 B 2.51-2.65, 2 Mg 2.79
B  0.0880  0.2500  0.7139  3 Mg 2.51-2.65
B  0.4120  0.7500  0.2139  3 Mg 2.51-2.65
B  0.5880  0.2500  0.7861  3 Mg 2.51-2.65
B  0.9120  0.7500  0.2861  3 Mg 2.51-2.65

Summary:
E above lowest polymorph   0.796 eV per atom
Space-group type   Pnma (62)

=====

Record 2
La2MgB: optimized geometry, PBE-GGA.

Lattice parameters (Å, degrees): 5.1739 5.1739 5.1739 60.00 60.00 60.00
Last column: nearest neighbours and their distance in Å.
Fractional coordinates of all 4 atoms:
La  0.2500  0.2500  0.2500  4 B 3.17, 4 Mg 3.17
La  0.7500  0.7500  0.7500  4 B 3.17, 4 Mg 3.17
Mg  0.0000  0.0000  0.0000  8 La 3.17
B  0.5000  0.5000  0.5000  8 La 3.17

Summary:
E above lowest polymorph   0.047 eV per atom
Space-group type   Fm-3m (225)

=====

Record 3
LaMgB: optimized geometry, PBE-GGA.

Lattice parameters (Å, degrees): 3.2382 5.8503 7.0052 78.73 79.25 89.87
Last column: nearest neighbours and their distance in Å.
Fractional coordinates of all 6 atoms:
La  0.0000  0.0000  0.0000  3 B 2.84-2.99
La  0.1948  0.8872  0.5364  3 B 2.79-2.96
Mg  0.4202  0.4607  0.2134  1 B 2.39
Mg  0.6651  0.3738  0.6329  1 B 2.42
B  0.0507  0.5570  0.8893  2 B 1.67-1.68
B  0.5594  0.6303  0.8680  2 B 1.67-1.68

Summary:
E above lowest polymorph   0.183 eV per atom
Space-group type   P1 (1)

=====

Record 4
LaMgB: optimized geometry, PBE-GGA.

Lattice parameters (Å, degrees): 3.2238 4.4714 9.7165 89.93 81.64 89.70
Last column: nearest neighbours and their distance in Å.
Fractional coordinates of all 6 atoms:
La  0.0000  0.0000  0.0000  3 B 2.77-2.89
La  0.2036  0.0003  0.5307  3 B 2.77-2.89
Mg  0.6020  0.5002  0.7654  2 Mg 3.22, 8 La 3.55-3.57
Mg  0.6031  0.5002  0.2658  4 B 2.39
B  0.3619  0.0010  0.2415  2 B 1.67-1.68
B  0.8422  0.9994  0.2892  2 B 1.67-1.68

Summary:
E above lowest polymorph   0.205 eV per atom
Space-group type   P1 (1)

=====

Record 5
LaMgB: optimized geometry, PBE-GGA.

Lattice parameters (Å, degrees): 4.7950 4.7950 6.1701 90.00 90.00 120.00
Last column: nearest neighbours and their distance in Å.
Fractional coordinates of all 6 atoms:
La  0.3333  0.6667  0.2500  5 B 2.77-3.09
La  0.6667  0.3333  0.7500  5 B 2.77-3.09
Mg  0.0000  0.0000  0.0000  2 Mg 3.09, 6 La 3.17, 6 B 3.17
Mg  0.0000  0.0000  0.5000  2 Mg 3.09, 6 La 3.17, 6 B 3.17
B  0.3333  0.6667  0.7500  5 La 2.77-3.09
B  0.6667  0.3333  0.2500  5 La 2.77-3.09

Summary:
E above lowest polymorph   0.434 eV per atom
Space-group type   P6_3/mmc (194)

=====

Record 6
LaMgB: optimized geometry, PBE-GGA.

Lattice parameters (Å, degrees): 4.2276 4.2276 10.0435 90.00 90.00 120.00
Last column: nearest neighbours and their distance in Å.
Fractional coordinates of all 6 atoms:
La  0.0000  0.0000  0.0000  2 B 2.51
La  0.0000  0.0000  0.5000  2 B 2.51
Mg  0.3333  0.6667  0.2500  3 B 2.44
Mg  0.6667  0.3333  0.7500  3 B 2.44
B  0.0000  0.0000  0.2500  3 Mg 2.44, 2 La 2.51
B  0.0000  0.0000  0.7500  3 Mg 2.44, 2 La 2.51

Summary:
E above lowest polymorph   0.818 eV per atom
Space-group type   P6_3/mmc (194)

=====

For the records above, the corresponding total moment values read 0.00; 0.00; 0.00; 0.00; 0.00; 0.00 μB per formula unit.
For the records above, the corresponding DOS(E_F) values read 2.00; 2.96; 2.42; 2.04; 0.46; 2.90 states/eV/f.u..
For the records above, the corresponding ΔE_f values read 0.57; 0.34; -0.04; -0.02; 0.21; 0.60 eV/atom.